This record from the Alexandria database describes a relaxed structure of Rb3TiO3. The functional is PBE.

a = 8.4643 Å, b = 14.6236 Å, c = 5.9507 Å
α = 90.00°, β = 90.00°, γ = 90.00°
Last column: nearest neighbours and their distance in Å.
Space group Cmcm (No. 63)
One atom of each set of equivalent atoms:
Rb  0.0000  0.1744  0.2500 [4 per cell]  4 O 2.85-3.02
Rb  0.2371  0.4126  0.2500 [8 per cell]  4 O 2.84-3.02
Ti  0.0000  0.3330  0.7500 [4 per cell]  3 O 1.82
O  0.0000  0.2085  0.7500 [4 per cell]  1 Ti 1.82
O  0.1860  0.3954  0.7500 [8 per cell]  1 Ti 1.82

## Properties
As for the energy above the most stable polymorph in this dataset: 115 meV per atom.

This record from the Alexandria database describes a relaxed structure of RbTiO2. The functional is PBE.

a = 5.7855 Å, b = 5.7855 Å, c = 9.1517 Å
α = 90.00°, β = 90.00°, γ = 90.00°
Last column: nearest neighbours and their distance in Å.
Space group I-42d (No. 122)
One atom of each set of equivalent atoms:
Rb  0.0000  0.0000  0.0000 [4 per cell]  4 O 3.01
Ti  0.0000  0.0000  0.5000 [4 per cell]  4 O 1.92
O  0.0894  0.2500  0.6250 [8 per cell]  2 Ti 1.92

This record from the Alexandria database describes a relaxed structure of Rb6TiO4. The functional is PBE.

a = 14.0567 Å, b = 24.2952 Å, c = 6.0284 Å
α = 90.00°, β = 90.00°, γ = 90.00°
Last column: nearest neighbours and their distance in Å.
Space group Cmc2_1 (No. 36)
One atom of each set of equivalent atoms:
Rb  0.0000  0.0753  0.0000 [4 per cell]  3 O 2.71-2.76
Rb  0.0000  0.3344  0.4687 [4 per cell]  1 O 2.55
Rb  0.1364  0.2120  0.0000 [8 per cell]  3 O 2.71-2.77
Rb  0.2483  0.4172  0.9687 [8 per cell]  1 O 2.55
Ti  0.0000  0.1664  0.4362 [4 per cell]  4 O 1.84-1.85
O  0.0000  0.1664  0.7409 [4 per cell]  1 Ti 1.84
O  0.0000  0.2365  0.3154 [4 per cell]  1 Ti 1.85
O  0.1050  0.1313  0.3153 [8 per cell]  1 Ti 1.85

Number 1: formation energy from raw total energies -1.84 eV/atom, E_tot -154.101 eV per cell. Number 2: formation energy from raw total energies -2.27 eV/atom, E_tot -111.460 eV per cell. Number 3: formation energy from raw total energies -1.56 eV/atom, E_tot -202.833 eV per cell.